1.
Here is a relaxed AgBiP2O8 crystal from Alexandria via LeMat-Bulk. Energies are from PBE.

Cell and atoms, written as POSCAR:
```
AgBiP2O8
1.0
4.932 0.000 0.000
-2.466 4.271 0.000
0.000 0.000 8.048
O Ag P Bi
8 1 2 1
Cartesian
0.000 2.848 7.453
-0.782 4.098 5.397
3.158 2.727 2.651
2.466 1.424 0.595
0.992 1.372 2.651
3.248 0.173 2.651
1.474 2.900 5.397
-0.692 1.545 5.397
0.000 0.000 0.000
0.000 2.848 5.940
2.466 1.424 2.108
0.000 0.000 4.024
```

Computed properties:
**Magnetic moment**: 0.000 μB/f.u.
**Uncorrected energy**: -6.221 eV per atom
**E_form (uncorrected)**: -17.43 eV per formula unit

2.
Here is a relaxed CuSi2Pt crystal from Alexandria via LeMat-Bulk. Energies are from PBE.

Cell and atoms, written as POSCAR:
```
CuSi2Pt
1.0
-0.260 -2.700 3.242
-0.494 -4.176 0.426
4.435 -1.123 0.220
Si Cu Pt
2 1 1
Cartesian
1.862 -4.052 1.970
3.660 -7.947 3.862
2.761 -6.000 2.916
0.920 -2.000 0.972
```

Computed properties:
**Magnetic moment**: 0.000 μB/f.u.
**Uncorrected energy**: -5.433 eV per atom
**E_form (uncorrected)**: -0.75 eV per formula unit

3.
Here is a relaxed PmPr3Y6Tm2 crystal from Alexandria via LeMat-Bulk. Energies are from PBE.

Cell and atoms, written as POSCAR:
```
PmPr3Y6Tm2
1.0
6.241 0.000 0.006
-3.119 5.406 0.006
-1.049 -1.816 11.706
Tm Pr Y Pm
2 3 6 1
Cartesian
0.000 3.605 0.006
3.122 1.802 0.006
1.037 1.795 5.859
4.155 -0.006 5.859
-2.081 3.596 5.859
-1.043 1.803 2.882
-0.004 -0.007 8.830
-0.009 3.592 8.836
2.082 -0.002 2.882
2.078 3.598 2.888
3.116 1.788 8.836
0.000 0.000 0.000
```

Computed properties:
**Magnetic moment**: 0.000 μB/f.u.
**Uncorrected energy**: -5.549 eV per atom

4.
Here is a relaxed Ti2TePbW crystal from Alexandria via LeMat-Bulk. Energies are from PBE.

Cell and atoms, written as POSCAR:
```
Ti2TePbW
1.0
4.897 0.000 0.000
0.000 5.346 0.000
0.000 0.000 4.897
Te W Ti Pb
1 1 2 1
Cartesian
2.448 2.673 2.448
0.000 0.000 0.000
0.000 0.000 2.448
2.448 0.000 0.000
0.000 2.673 0.000
```

Computed properties:
**Magnetic moment**: 0.000 μB/f.u.
**Uncorrected energy**: -6.352 eV per atom
**E_form (uncorrected)**: 3.83 eV per formula unit

5.
Here is a relaxed ScNiPt2 crystal from Alexandria via LeMat-Bulk. Energies are from PBE.

Cell and atoms, written as POSCAR:
```
ScNiPt2
1.0
-4.114 -2.642 0.037
0.921 -4.703 0.971
1.300 4.171 2.194
Sc Ni Pt
1 1 2
Cartesian
-1.597 -3.672 0.504
-2.205 -1.071 1.368
0.000 0.000 0.000
0.312 -2.102 1.835
```

Computed properties:
**Magnetic moment**: 0.673 μB/f.u.
**Uncorrected energy**: -6.808 eV per atom

6.
Here is a relaxed Nd6IrOs2Br3 crystal from Alexandria via LeMat-Bulk. Energies are from PBE.

Cell and atoms, written as POSCAR:
```
Nd6IrOs2Br3
1.0
-4.709 -0.831 5.343
5.596 -4.447 -0.572
3.958 6.537 2.899
Br Nd Ir Os
3 6 1 2
Cartesian
-0.996 1.829 5.797
2.422 0.630 3.835
5.841 -0.570 1.873
1.423 -2.557 4.042
5.599 0.601 4.984
2.119 1.822 6.981
-0.754 0.659 2.686
3.422 3.816 3.628
2.725 -0.562 0.689
0.000 0.000 0.000
-1.273 -2.037 3.371
2.160 -3.241 1.400
```

Computed properties:
**Magnetic moment**: 0.000 μB/f.u.
**Uncorrected energy**: -6.200 eV per atom
**E_form (uncorrected)**: -9.45 eV per formula unit

7.
Here is a relaxed La2NdY6Er3 crystal from Alexandria via LeMat-Bulk. Energies are from PBE.

Cell and atoms, written as POSCAR:
```
La2NdY6Er3
1.0
-1.902 -5.878 -0.833
5.438 1.145 2.824
-6.614 1.868 9.689
La Y Er Nd
2 6 3 1
Cartesian
0.546 -3.536 0.386
2.990 -1.197 1.604
-4.048 0.221 7.702
-1.056 -0.980 9.308
0.421 0.453 3.589
-2.022 -1.884 2.372
0.971 -3.085 3.977
-3.499 -3.318 8.091
-3.986 -3.774 4.620
0.908 0.909 7.059
-1.539 -1.432 5.840
0.000 0.000 0.000
```

Computed properties:
**Magnetic moment**: 0.000 μB/f.u.
**Uncorrected energy**: -5.568 eV per atom

8.
Here is a relaxed LiTeSeS crystal from Alexandria via LeMat-Bulk. Energies are from PBE.

Cell and atoms, written as POSCAR:
```
LiTeSeS
1.0
-3.678 1.993 3.379
2.484 -4.667 -0.986
4.837 2.409 2.117
Li Se S Te
1 1 1 1
Cartesian
3.686 -0.381 1.414
0.493 -1.868 1.147
1.519 1.781 2.747
2.281 -3.467 0.253
```

Computed properties:
**Magnetic moment**: 0.000 μB/f.u.
**Uncorrected energy**: -3.554 eV per atom
**E_form (uncorrected)**: -1.55 eV per formula unit

9.
Here is a relaxed Rb4La3UTe8 crystal from Alexandria via LeMat-Bulk. Energies are from PBE.

Cell and atoms, written as POSCAR:
```
Rb4La3UTe8
1.0
9.433 0.000 0.000
0.000 10.124 0.455
-4.716 -4.696 6.685
Te Rb La U
8 4 3 1
Cartesian
4.716 0.474 3.717
0.000 4.954 3.423
2.318 2.862 0.318
7.115 2.862 0.318
4.716 4.947 3.475
0.000 0.481 3.665
-2.399 2.566 6.823
2.399 2.566 6.823
4.716 0.000 0.000
2.358 -2.348 3.343
0.000 0.000 0.000
-2.358 -2.348 3.343
4.716 5.062 0.228
-2.358 2.714 3.570
2.358 2.714 3.570
0.000 5.062 0.228
```

Computed properties:
**Magnetic moment**: 3.018 μB/f.u.
**Uncorrected energy**: -4.762 eV per atom
**E_form (uncorrected)**: -21.12 eV per formula unit

10.
Here is a relaxed GaNi4S crystal from Alexandria via LeMat-Bulk. Energies are from PBE.

Cell and atoms, written as POSCAR:
```
GaNi4S
1.0
4.640 0.000 0.000
0.000 5.138 0.297
-2.320 -1.832 6.278
Ga Ni S
2 8 2
Cartesian
0.617 1.285 0.075
1.703 2.021 6.500
1.948 0.635 4.455
0.424 -1.176 5.240
-0.377 0.100 1.972
-0.421 1.391 5.387
1.896 4.481 1.335
2.740 1.915 1.188
0.371 2.671 2.121
2.696 3.206 4.603
1.160 -0.916 3.139
-1.160 1.653 3.288
```

Computed properties:
**Magnetic moment**: 0.000 μB/f.u.
**Uncorrected energy**: -5.237 eV per atom
**E_form (uncorrected)**: -1.14 eV per formula unit

11.
Here is a relaxed CrSBr crystal from Alexandria via LeMat-Bulk. Energies are from PBE.

Cell and atoms, written as POSCAR:
```
CrSBr
1.0
-0.873 -0.211 -3.310
4.593 -3.005 -1.020
-4.598 -5.063 1.536
Cr S Br
2 2 2
Cartesian
-1.635 -3.529 -2.009
0.756 -4.750 -0.785
1.784 -4.488 -2.850
-2.663 -3.790 0.056
0.262 -2.352 -0.808
-1.141 -5.926 -1.986
```

Computed properties:
**Magnetic moment**: 1.002 μB/f.u.
**Uncorrected energy**: -5.560 eV per atom
**E_form (uncorrected)**: -1.26 eV per formula unit

12.
Here is a relaxed CePr5Rh4 crystal from Alexandria via LeMat-Bulk. Energies are from PBE.

Cell and atoms, written as POSCAR:
```
CePr5Rh4
1.0
-1.956 -3.558 0.955
6.730 -4.054 -1.322
1.165 3.998 8.174
Rh Ce Pr
4 1 5
Cartesian
1.636 -0.983 -0.312
4.303 -2.631 8.119
6.145 -2.142 4.601
-0.205 -1.471 3.206
-0.978 -1.779 0.477
5.808 -2.717 1.772
3.557 -2.951 5.399
0.131 -0.896 6.036
2.382 -0.663 2.408
2.387 -3.806 -0.184
```

Computed properties:
**Magnetic moment**: 0.000 μB/f.u.
**Uncorrected energy**: -6.457 eV per atom

13.
Here is a relaxed LiBC crystal from Alexandria via LeMat-Bulk. Energies are from PBE.

Cell and atoms, written as POSCAR:
```
LiBC
1.0
1.425 -7.230 0.000
1.425 7.230 0.000
0.000 0.000 2.553
C B Li
2 2 2
Cartesian
1.425 -7.006 0.638
1.425 7.006 1.915
1.425 -3.617 1.915
1.425 3.617 0.638
1.425 1.536 1.915
1.425 -1.536 0.638
```

Computed properties:
**Magnetic moment**: 0.000 μB/f.u.
**Uncorrected energy**: -5.380 eV per atom

14.
Here is a relaxed Y2AlBRh6 crystal from Alexandria via LeMat-Bulk. Energies are from PBE.

Cell and atoms, written as POSCAR:
```
Y2AlBRh6
1.0
6.173 0.000 0.002
0.000 6.173 0.002
3.088 3.088 4.369
Y Rh Al B
2 6 1 1
Cartesian
3.087 6.173 2.187
6.173 3.087 2.186
3.087 3.087 2.050
7.621 4.727 4.371
1.640 4.534 0.002
6.174 6.174 2.322
4.726 4.727 4.370
4.534 4.534 0.003
6.173 0.000 0.002
3.086 3.086 0.002
```

Computed properties:
**Magnetic moment**: 0.000 μB/f.u.
**Uncorrected energy**: -7.361 eV per atom

15.
Here is a relaxed ZrSc2Cl crystal from Alexandria via LeMat-Bulk. Energies are from PBE.

Cell and atoms, written as POSCAR:
```
ZrSc2Cl
1.0
5.271 0.000 0.000
0.000 3.298 0.021
0.000 3.256 5.342
Sc Cl Zr
2 1 1
Cartesian
2.636 2.047 1.783
0.000 5.323 4.955
2.636 5.321 4.489
0.000 3.695 2.181
```

Computed properties:
**Magnetic moment**: 0.000 μB/f.u.
**Uncorrected energy**: -6.043 eV per atom
**E_form (uncorrected)**: -1.11 eV per formula unit

16.
Here is a relaxed LaH2Au crystal from Alexandria via LeMat-Bulk. Energies are from PBE.

Cell and atoms, written as POSCAR:
```
LaH2Au
1.0
4.330 0.000 0.000
0.000 4.247 -0.068
0.000 -2.020 6.404
La Au H
2 2 4
Cartesian
1.083 2.154 1.863
3.248 0.072 4.473
3.248 0.014 0.948
1.083 2.212 5.388
3.248 2.134 0.630
1.083 0.092 5.706
3.248 2.176 3.180
1.083 0.051 3.156
```

Computed properties:
**Magnetic moment**: 0.000 μB/f.u.
**Uncorrected energy**: -4.288 eV per atom

17.
Here is a relaxed Li3SmS4O12 crystal from Alexandria via LeMat-Bulk. Energies are from PBE.

Cell and atoms, written as POSCAR:
```
Li3SmS4O12
1.0
6.440 -0.097 -0.135
-1.646 6.227 -0.135
-1.646 -2.104 5.862
O Li S Sm
12 3 4 1
Cartesian
5.369 0.717 1.830
1.574 0.850 3.633
0.170 5.574 1.261
5.294 2.936 0.037
3.746 -1.358 3.762
2.703 2.293 1.959
-2.146 4.922 2.796
-0.598 0.027 5.686
2.978 4.599 -0.094
1.574 -1.820 5.555
-2.221 2.517 4.331
0.446 2.895 2.796
1.755 -1.260 3.340
3.039 2.563 -0.135
-1.646 2.723 2.387
1.574 5.279 0.445
4.744 -0.467 2.796
1.574 2.013 2.796
-1.596 1.226 5.147
0.000 0.000 0.000
```

Computed properties:
**Magnetic moment**: 0.000 μB/f.u.
**Uncorrected energy**: -5.658 eV per atom
**E_form (uncorrected)**: -26.69 eV per formula unit

18.
Here is a relaxed CsAgSnAu2 crystal from Alexandria via LeMat-Bulk. Energies are from PBE.

Cell and atoms, written as POSCAR:
```
CsAgSnAu2
1.0
5.419 0.000 0.000
0.000 5.419 0.000
0.000 0.000 5.425
Cs Au Ag Sn
1 2 1 1
Cartesian
2.709 2.709 2.713
2.709 0.000 0.000
0.000 2.709 0.000
0.000 0.000 2.713
0.000 0.000 0.000
```

Computed properties:
**Magnetic moment**: 0.000 μB/f.u.
**Uncorrected energy**: -2.937 eV per atom

19.
Here is a relaxed Hf3ZrHg2 crystal from Alexandria via LeMat-Bulk. Energies are from PBE.

Cell and atoms, written as POSCAR:
```
Hf3ZrHg2
1.0
3.078 0.000 -0.585
-0.222 8.772 -1.167
0.362 -1.188 10.300
Zr Hg Hf
2 4 6
Cartesian
2.254 -0.121 3.472
0.964 7.704 5.075
2.991 6.629 7.352
0.227 0.954 1.195
2.194 2.841 3.154
1.025 4.743 5.393
0.082 6.548 0.434
1.677 3.855 0.431
1.542 3.729 8.116
2.100 5.788 2.660
1.119 1.795 5.888
3.136 1.036 8.113
```

Computed properties:
**Magnetic moment**: 0.000 μB/f.u.
**Uncorrected energy**: -6.469 eV per atom

20.
Here is a relaxed YZnSn2Te crystal from Alexandria via LeMat-Bulk. Energies are from PBE.

Cell and atoms, written as POSCAR:
```
YZnSn2Te
1.0
5.133 0.000 0.000
0.000 5.501 0.000
0.000 0.000 5.133
Zn Sn Y Te
1 2 1 1
Cartesian
0.000 0.000 0.000
0.000 0.000 2.567
2.567 0.000 0.000
2.567 2.750 2.567
0.000 2.750 0.000
```

Computed properties:
**Magnetic moment**: 0.000 μB/f.u.
**Uncorrected energy**: -3.684 eV per atom
**E_form (uncorrected)**: 0.46 eV per formula unit